Ac2La4Tl3H2 PBE optimized geometry; total energy = -45.34 eV per formula unit; DOS(E_F) = 1.012 states/eV per atom
1.0
-4.911 0.966 -0.654
0.569 -0.489 -4.992
-0.499 -13.166 3.785
Ac La Tl H
2 4 3 2
direct
0.299 0.299 0.599
0.701 0.701 0.401
0.418 0.918 0.836
0.918 0.418 0.836
0.082 0.582 0.164
0.582 0.082 0.164
0.000 0.000 0.000
0.170 0.170 0.339
0.830 0.830 0.661
0.400 0.400 0.799
0.600 0.600 0.201